A plane-wave DFT calculation with PBE was carried out for an optimized crystal structure of Tb2TlCuS4.

abc: 3.975 13.667 13.810
angles: 90.00 90.00 90.00
Space group Cmcm (No. 63)
Symmetry-distinct sites (fractional):
Tb1 0.000 0.134 0.063 x8
Tl1 0.000 0.393 0.250 x4
Cu1 0.000 0.335 0.750 x4
S1 0.000 0.072 0.250 x4
S2 0.000 0.238 0.610 x8
S3 0.000 0.500 0.000 x4

Results
**Crystal system**: orthorhombic
**Energy**: -175.4 eV/cell
**Formation energy without anion corrections**: -140.2 kJ/mol of atoms

A plane-wave DFT calculation with PBE was carried out for an optimized crystal structure of PPdN2.

abc: 2.7380 2.7380 18.0060
angles: 90.00 90.00 120.00
Space group R-3m (No. 166, hexagonal axes)
Symmetry-distinct sites (fractional):
P1 0.0000 0.0000 0.0000 x3
Pd1 0.0000 0.0000 0.5000 x3
N1 0.0000 0.0000 0.3856 x6

Results
**Crystal system**: trigonal
**Energy**: -82.1 eV/cell
**Formation energy without anion corrections**: -3.0 kJ/mol of atoms

A plane-wave DFT calculation with PBE was carried out for an optimized crystal structure of K2PrC2O6.

abc: 5.8483 5.8483 6.2804
angles: 90.00 90.00 120.00
Space group P-3 (No. 147)
Symmetry-distinct sites (fractional):
K1 0.3333 0.6667 0.3286 x2
Pr1 0.0000 0.0000 0.0000 x1
C1 0.3333 0.6667 0.8179 x2
O1 0.2008 0.4083 0.8061 x6

Results
**Crystal system**: trigonal
**Energy**: -75.3 eV/cell
**Formation energy without anion corrections**: -176.7 kJ/mol of atoms